A geometry-optimized BaPmGe2 structure, computed with GGA-PBE.

Output
The calculation puts the formation energy at -363 meV per atom. The calculation puts the total magnetic moment at 0.000 μB/atom. As for the electronic total energy: -4.340 eV per atom. For the density of states at the Fermi level, the calculation gives 0.571 states/eV/atom.

```
BaPmGe2
1.0
3.858 0.000 0.000
0.000 3.566 4.643
0.000 -3.566 4.643
Ba Pm Ge
1 1 2
Cartesian
0.000 0.000 0.000 Ba
1.929 0.000 5.435 Pm
1.929 -1.276 2.698 Ge
1.929 1.276 2.698 Ge
```